Record 1
Density functional theory data (GGA-PBE) for a relaxed YTa2InSi crystal.

a = 5.1366 Å, b = 5.1366 Å, c = 4.8614 Å
α = 90.00°, β = 90.00°, γ = 90.00°
Last column: nearest neighbours and their distance in Å.
Space group P4/mmm (No. 123)
Asymmetric unit:
Y 0.0000 0.0000 0.0000 x1  8 Ta 3.54, 4 Si 3.63
Ta 0.0000 0.5000 0.5000 x2  2 In 2.57
In 0.5000 0.5000 0.5000 x1  2 Si 2.43, 4 Ta 2.57
Si 0.5000 0.5000 0.0000 x1  2 In 2.43

Calculated values
- Calculated volume: 128.27 Å³/f.u.
- Formation energy without anion corrections: 7.61 eV per formula unit
- DFT total energy: -0.4515 Ry per atom


Record 2
Density functional theory data (GGA-PBE) for a relaxed YTa2InSi crystal.

a = 5.0538 Å, b = 5.0538 Å, c = 5.4304 Å
α = 90.00°, β = 90.00°, γ = 90.00°
Last column: nearest neighbours and their distance in Å.
Space group P4/mmm (No. 123)
Asymmetric unit:
Y 0.0000 0.0000 0.0000 x1  2 In 2.72
Ta 0.0000 0.5000 0.5000 x2  2 In 2.53
In 0.0000 0.0000 0.5000 x1  4 Ta 2.53, 2 Y 2.72
Si 0.5000 0.5000 0.0000 x1  4 Y 3.57, 8 Ta 3.71

Calculated values
- Calculated volume: 138.70 Å³/f.u.
- Formation energy without anion corrections: 8.57 eV per formula unit
- DFT total energy: -0.4375 Ry per atom


Record 3
Density functional theory data (GGA-PBE) for a relaxed Tb4InSi crystal.

a = 5.7554 Å, b = 6.7261 Å, c = 8.6044 Å
α = 90.00°, β = 99.37°, γ = 90.00°
Last column: nearest neighbours and their distance in Å.
Space group P2_1/m (No. 11)
Asymmetric unit:
Tb 0.1533 0.2500 0.0513 x2  2 Si 2.86-3.10, 1 In 3.13
Tb 0.1855 0.7500 0.3622 x2  1 Si 3.06, 3 In 3.28-3.40
Tb 0.3390 0.5093 0.7482 x4  2 Si 2.92-2.98, 1 Tb 3.24
In 0.2335 0.2500 0.4204 x2  8 Tb 3.13-3.46
Si 0.3469 0.7500 0.0402 x2  7 Tb 2.86-3.10

Calculated values
- Calculated volume: 164.32 Å³/f.u.
- Formation energy without anion corrections: -2.59 eV per formula unit
- DFT total energy: -0.3586 Ry per atom